Entry 1:
La2PmSm3P6: optimized geometry, GGA-PBE.

For the formation energy, the calculation gives -151 kJ/mol of atoms.

The structure belongs to space group C2/m (No. 12); the cell edges are 18.165, 4.170 and 8.338 Å and the angles 90.00°, 103.29° and 90.00°. The inequivalent atoms are La at (0.166, 0.000, 0.332), Pm at (0.000, 0.500, 0.000), Sm at (0.000, 0.500, 0.500), Sm at (0.167, 0.000, 0.834), P at (0.002, 0.000, 0.750), P at (0.165, 0.500, 0.588) and P at (0.167, 0.500, 0.078).

Entry 2:
AcGe5Ir2: optimized geometry, GGA-PBE.

For the formation energy, the calculation gives -32 kJ/mol of atoms.

The structure belongs to space group Immm (No. 71); the cell edges are 4.172, 7.016 and 11.313 Å and the angles 90.00°, 90.00° and 90.00°. The inequivalent atoms are Ac at (0.000, 0.000, 0.000), Ge at (0.000, 0.216, 0.343), Ge at (0.000, 0.500, 0.000) and Ir at (0.000, 0.500, 0.205).

Entry 3:
Cd2In4Pb: optimized geometry, GGA-PBE.

The energy above the most stable polymorph in this dataset is 0 meV/atom. For the formation energy, the calculation gives 6 kJ/mol of atoms.

The structure belongs to space group C2/m (No. 12); the cell edges are 9.830, 7.526 and 5.987 Å and the angles 90.00°, 121.13° and 90.00°. The inequivalent atoms are Cd at (0.001, 0.000, 0.257), In at (0.197, 0.297, 0.202) and Pb at (0.000, 0.500, 0.500).

Entry 4:
CoMo7: optimized geometry, GGA-PBE.

For the formation energy, the calculation gives 32 kJ/mol of atoms.

The structure belongs to space group Fm-3m (No. 225); the cell edges are 7.898, 7.898 and 7.898 Å and the angles 90.00°, 90.00° and 90.00°. The inequivalent atoms are Co at (0.000, 0.000, 0.000), Mo at (0.000, 0.000, 0.500) and Mo at (0.000, 0.250, 0.250).